# 1
# Al2SbH6

A relaxed structure of Al2SbH6 (GGA-PBE, Alexandria).

The space group is Fm-3m (No. 225) and the conventional cell measures 7.446, 7.446 and 7.446 Å, with angles of 90.00, 90.00 and 90.00 degrees. Symmetry generates all atoms from Al at (0.250, 0.250, 0.250), Sb at (0.000, 0.000, 0.000) and H at (0.000, 0.000, 0.254).

As for the density of states at the Fermi level: 0.184 states/eV/atom. The total energy comes out at -2.7823 eV per atom.



# 2
# AcCoSi

A relaxed structure of AcCoSi (GGA-PBE, Alexandria).

The space group is P4/nmm (No. 129, origin choice 2) and the conventional cell measures 4.103, 4.103 and 7.941 Å, with angles of 90.00, 90.00 and 90.00 degrees. Symmetry generates all atoms from Ac at (0.250, 0.250, 0.198), Co at (0.250, 0.750, 0.500) and Si at (0.250, 0.250, 0.639).

The value obtained for the uncorrected formation energy is -0.58 eV per atom. As for the density of states at the Fermi level: 0.525 states/eV/atom. The value obtained for the excess energy over the best structure of this formula in the dataset is 0 meV per atom.



# 3
# CsCd6Ag

A relaxed structure of CsCd6Ag (GGA-PBE, Alexandria).

The space group is R-3m (No. 166, hexagonal axes) and the conventional cell measures 4.8727, 4.8727 and 34.0554 Å, with angles of 90.00, 90.00 and 120.00 degrees. Symmetry generates all atoms from Cs at (0.0000, 0.0000, 0.0000), Cd at (0.0000, 0.0000, 0.1392), Cd at (0.0000, 0.0000, 0.2337), Cd at (0.0000, 0.0000, 0.4134) and Ag at (0.0000, 0.0000, 0.5000).

As for the density of states at the Fermi level: 0.639 states/eV/atom. The value obtained for the excess energy over the best structure of this formula in the dataset is 0 meV per atom.



# 4
# TbNd3Th

A relaxed structure of TbNd3Th (GGA-PBE, Alexandria).

The space group is R-3m (No. 166, hexagonal axes) and the conventional cell measures 6.8651, 6.8651 and 25.0858 Å, with angles of 90.00, 90.00 and 120.00 degrees. Symmetry generates all atoms from Tb at (0.0000, 0.0000, 0.1629), Nd at (0.0142, 0.5071, 0.3856) and Th at (0.0000, 0.0000, 0.4298).

As for the density of states at the Fermi level: 1.933 states/eV/atom. The value obtained for the excess energy over the best structure of this formula in the dataset is 0 meV per atom.



# 5
# AlSn3Pt

A relaxed structure of AlSn3Pt (GGA-PBE, Alexandria).

The space group is Pm-3m (No. 221) and the conventional cell measures 5.248, 5.248 and 5.248 Å, with angles of 90.00, 90.00 and 90.00 degrees. Symmetry generates all atoms from Al at (0.000, 0.000, 0.000), Sn at (0.000, 0.500, 0.500) and Pt at (0.500, 0.500, 0.500).

As for the density of states at the Fermi level: 0.946 states/eV/atom. The value obtained for the excess energy over the best structure of this formula in the dataset is 0 meV per atom.



# 6
# Ba2InSnPd

A relaxed structure of Ba2InSnPd (GGA-PBE, Alexandria).

The space group is P4/mmm (No. 123) and the conventional cell measures 6.144, 6.144 and 5.115 Å, with angles of 90.00, 90.00 and 90.00 degrees. Symmetry generates all atoms from Ba at (0.000, 0.500, 0.000), In at (0.000, 0.000, 0.500), Sn at (0.500, 0.500, 0.500) and Pd at (0.500, 0.500, 0.000).

As for the density of states at the Fermi level: 0.644 states/eV/atom. The total energy comes out at -3.5827 eV per atom.



# 7
# Rb2ErI5

A relaxed structure of Rb2ErI5 (GGA-PBE, Alexandria).

The space group is Pnma (No. 62) and the conventional cell measures 14.792, 9.876 and 9.578 Å, with angles of 90.00, 90.00 and 90.00 degrees. Symmetry generates all atoms from Rb at (0.169, 0.012, 0.093), Er at (0.006, 0.250, 0.575), I at (0.015, 0.250, 0.904), I at (0.056, 0.549, 0.668), I at (0.186, 0.250, 0.419) and I at (0.196, 0.750, 0.366).

The value obtained for the uncorrected formation energy is -1.43 eV per atom. As for the density of states at the Fermi level: 0.000 states/eV/atom. The value obtained for the excess energy over the best structure of this formula in the dataset is 0 meV per atom.



# 8
# ErCuRu

A relaxed structure of ErCuRu (GGA-PBE, Alexandria).

The space group is Imma (No. 74) and the conventional cell measures 5.055, 5.189 and 7.791 Å, with angles of 90.00, 90.00 and 90.00 degrees. Symmetry generates all atoms from Er at (0.000, 0.250, 0.127), Cu at (0.250, 0.250, 0.750) and Ru at (0.000, 0.000, 0.500).

As for the density of states at the Fermi level: 0.538 states/eV/atom. The value obtained for the excess energy over the best structure of this formula in the dataset is 0 meV per atom.



# 9
# AlBiS3

A relaxed structure of AlBiS3 (GGA-PBE, Alexandria).

The space group is Ama2 (No. 40) and the conventional cell measures 3.899, 23.372 and 6.346 Å, with angles of 90.00, 90.00 and 90.00 degrees. Symmetry generates all atoms from Al at (0.250, 0.126, 0.000), Bi at (0.250, 0.329, 0.059), S at (0.250, 0.109, 0.346), S at (0.250, 0.214, 0.847) and S at (0.250, 0.415, 0.355).

The value obtained for the uncorrected formation energy is -0.70 eV per atom. As for the density of states at the Fermi level: 0.000 states/eV/atom. The value obtained for the excess energy over the best structure of this formula in the dataset is 0 meV per atom.



# 10
# Sr2Li2Cd5Ag

A relaxed structure of Sr2Li2Cd5Ag (GGA-PBE, Alexandria).

The space group is P4/mbm (No. 127) and the conventional cell measures 11.086, 11.086 and 4.033 Å, with angles of 90.00, 90.00 and 90.00 degrees. Symmetry generates all atoms from Sr at (0.182, 0.318, 0.000), Li at (0.118, 0.618, 0.000), Cd at (0.000, 0.500, 0.500), Cd at (0.052, 0.806, 0.500) and Ag at (0.000, 0.000, 0.000).

As for the density of states at the Fermi level: 0.739 states/eV/atom. The total energy comes out at -1.6624 eV per atom.



# 11
# Y3TiAg

A relaxed structure of Y3TiAg (GGA-PBE, Alexandria).

The space group is Pm-3m (No. 221) and the conventional cell measures 5.332, 5.332 and 5.332 Å, with angles of 90.00, 90.00 and 90.00 degrees. Symmetry generates all atoms from Y at (0.000, 0.000, 0.500), Ti at (0.000, 0.000, 0.000) and Ag at (0.500, 0.500, 0.500).

As for the density of states at the Fermi level: 1.046 states/eV/atom. The value obtained for the excess energy over the best structure of this formula in the dataset is 0 meV per atom.



# 12
# LiCr2Os

A relaxed structure of LiCr2Os (GGA-PBE, Alexandria).

The space group is Cmmm (No. 65) and the conventional cell measures 2.798, 4.305 and 8.970 Å, with angles of 90.00, 90.00 and 90.00 degrees. Symmetry generates all atoms from Li at (0.000, 0.000, 0.000), Cr at (0.000, 0.500, 0.261) and Os at (0.000, 0.000, 0.500).

As for the density of states at the Fermi level: 1.305 states/eV/atom. The total energy comes out at -7.6339 eV per atom.



# 13
# Ca2CdAgH

A relaxed structure of Ca2CdAgH (GGA-PBE, Alexandria).

The space group is P4/mmm (No. 123) and the conventional cell measures 4.911, 4.911 and 4.396 Å, with angles of 90.00, 90.00 and 90.00 degrees. Symmetry generates all atoms from Ca at (0.000, 0.500, 0.000), Cd at (0.000, 0.000, 0.500), Ag at (0.500, 0.500, 0.500) and H at (0.000, 0.000, 0.000).

As for the density of states at the Fermi level: 0.494 states/eV/atom. The value obtained for the excess energy over the best structure of this formula in the dataset is 34 meV per atom.



# 14
# MoP3

A relaxed structure of MoP3 (GGA-PBE, Alexandria).

The space group is Cmcm (No. 63) and the conventional cell measures 6.459, 13.446 and 4.113 Å, with angles of 90.00, 90.00 and 90.00 degrees. Symmetry generates all atoms from Mo at (0.000, 0.066, 0.250), P at (0.000, 0.197, 0.750) and P at (0.239, 0.079, 0.750).

As for the density of states at the Fermi level: 0.585 states/eV/atom. The value obtained for the excess energy over the best structure of this formula in the dataset is 296 meV per atom.



# 15
# LiMn2Fe

A relaxed structure of LiMn2Fe (GGA-PBE, Alexandria).

The space group is Imm2 (No. 44) and the conventional cell measures 2.754, 4.081 and 8.062 Å, with angles of 90.00, 90.00 and 90.00 degrees. Symmetry generates all atoms from Li at (0.000, 0.000, 0.000), Mn at (0.000, 0.000, 0.505), Mn at (0.000, 0.500, 0.762) and Fe at (0.000, 0.500, 0.245).

As for the density of states at the Fermi level: 0.884 states/eV/atom. The value obtained for the excess energy over the best structure of this formula in the dataset is 42 meV per atom.



# 16
# Pm3Y6Ho2Zr

A relaxed structure of Pm3Y6Ho2Zr (GGA-PBE, Alexandria).

The space group is C2/m (No. 12) and the conventional cell measures 6.153, 10.644 and 11.722 Å, with angles of 90.00, 100.02 and 90.00 degrees. Symmetry generates all atoms from Pm at (0.000, 0.000, 0.000), Pm at (0.000, 0.334, 0.000), Y at (0.244, 0.337, 0.742), Y at (0.246, 0.500, 0.258), Ho at (0.000, 0.167, 0.500) and Zr at (0.000, 0.500, 0.500).

As for the density of states at the Fermi level: 1.336 states/eV/atom. The total energy comes out at -5.8475 eV per atom.



# 17
# La6PmCd

A relaxed structure of La6PmCd (GGA-PBE, Alexandria).

The space group is P-1 (No. 2) and the conventional cell measures 6.663, 6.675 and 9.190 Å, with angles of 110.63, 90.52 and 119.67 degrees. Symmetry generates all atoms from La at (0.036, 0.338, 0.281), La at (0.205, 0.266, 0.723), La at (0.429, 0.977, 0.282), Pm at (0.500, 0.500, 0.500) and Cd at (0.000, 0.500, 0.000).

As for the density of states at the Fermi level: 1.763 states/eV/atom. The value obtained for the excess energy over the best structure of this formula in the dataset is 401 meV per atom.



# 18
# Na3Pa2Cl2O5

A relaxed structure of Na3Pa2Cl2O5 (GGA-PBE, Alexandria).

The space group is I4/mmm (No. 139) and the conventional cell measures 4.348, 4.348 and 24.470 Å, with angles of 90.00, 90.00 and 90.00 degrees. Symmetry generates all atoms from Na at (0.000, 0.000, 0.000), Na at (0.000, 0.000, 0.177), Pa at (0.000, 0.000, 0.411), Cl at (0.000, 0.000, 0.295), O at (0.000, 0.000, 0.500) and O at (0.000, 0.500, 0.095).

The value obtained for the uncorrected formation energy is -2.62 eV per atom. As for the density of states at the Fermi level: 0.446 states/eV/atom.



# 19
# TmSc2Ga4

A relaxed structure of TmSc2Ga4 (GGA-PBE, Alexandria).

The space group is Immm (No. 71) and the conventional cell measures 3.687, 4.161 and 18.157 Å, with angles of 90.00, 90.00 and 90.00 degrees. Symmetry generates all atoms from Tm at (0.000, 0.000, 0.000), Sc at (0.000, 0.500, 0.192), Ga at (0.000, 0.000, 0.431) and Ga at (0.000, 0.500, 0.349).

As for the density of states at the Fermi level: 0.746 states/eV/atom. The total energy comes out at -4.7731 eV per atom.



# 20
# HoZnPb

A relaxed structure of HoZnPb (GGA-PBE, Alexandria).

The space group is I4mm (No. 107) and the conventional cell measures 3.274, 3.274 and 15.860 Å, with angles of 90.00, 90.00 and 90.00 degrees. Symmetry generates all atoms from Ho at (0.000, 0.000, 0.000), Zn at (0.000, 0.000, 0.627) and Pb at (0.000, 0.000, 0.802).

As for the density of states at the Fermi level: 0.928 states/eV/atom. The total energy comes out at -3.0254 eV per atom.